# 1
A relaxed structure of InCuAu2, computed with PBE.

* calculated total energy: -3.3925 eV per atom
* energy of formation: -0.0452 eV per atom
* total magnetic moment: 0.0 Bohr magnetons per cell

Cell: 9.827 3.142 4.846 Å, 90.00 108.01 90.00°
Space group C2/m (No. 12)
One atom of each set of equivalent atoms:
In 0.000 0.000 0.000
Cu 0.000 0.500 0.500
Au 0.230 0.000 0.733

***

# 2
A relaxed structure of InCuAu2, computed with PBE.

* calculated total energy: -3.3943 eV per atom
* energy of formation: -0.0469 eV per atom
* total magnetic moment: 0.0 Bohr magnetons per cell

Cell: 3.427 3.705 5.689 Å, 90.00 90.00 90.00°
Space group Pmm2 (No. 25)
One atom of each set of equivalent atoms:
In 0.000 0.000 0.000
Cu 0.500 0.500 0.728
Au 0.000 0.000 0.521
Au 0.500 0.500 0.245

***

# 3
A relaxed structure of InCu8Au4, computed with PBE.

* calculated total energy: -3.7222 eV per atom
* energy of formation: 0.0176 eV per atom
* total magnetic moment: 0.0 Bohr magnetons per cell

Cell: 2.830 4.335 16.236 Å, 90.00 90.00 90.00°
Space group Pmm2 (No. 25)
One atom of each set of equivalent atoms:
In 0.000 0.000 0.000
Cu 0.000 0.000 0.554
Cu 0.000 0.000 0.835
Cu 0.000 0.500 0.169
Cu 0.000 0.500 0.743
Cu 0.500 0.000 0.138
Cu 0.500 0.000 0.418
Cu 0.500 0.500 0.310
Cu 0.500 0.500 0.599
Au 0.000 0.000 0.275
Au 0.000 0.500 0.456
Au 0.500 0.000 0.695
Au 0.500 0.500 0.893

***

# 4
A relaxed structure of In2CuAu6, computed with PBE.

* calculated total energy: -3.3036 eV per atom
* energy of formation: -0.0551 eV per atom
* total magnetic moment: 0.0 Bohr magnetons per cell
* energy relative to the lowest polymorph listed for this composition: 45 meV/atom

Cell: 3.033 14.048 7.835 Å, 90.00 90.00 90.00°
Space group Amm2 (No. 38)
One atom of each set of equivalent atoms:
In 0.000 0.171 0.000
Cu 0.500 0.000 0.505
Au 0.000 0.000 0.794
Au 0.000 0.138 0.358
Au 0.500 0.000 0.141
Au 0.500 0.174 0.677

***

# 5
A relaxed structure of InCu3Au, computed with PBE.

* calculated total energy: -2.6922 eV per atom
* energy of formation: 0.9686 eV per atom
* total magnetic moment: 0.0 Bohr magnetons per cell
* energy relative to the lowest polymorph listed for this composition: 990 meV/atom

Cell: 4.776 4.776 4.776 Å, 90.00 90.00 90.00°
Space group Pm-3m (No. 221)
One atom of each set of equivalent atoms:
In 0.000 0.000 0.000
Cu 0.000 0.000 0.500
Au 0.500 0.500 0.500

***

# 6
A relaxed structure of InCuAu3, computed with PBE.

* calculated total energy: -3.4233 eV per atom
* energy of formation: -0.0900 eV per atom
* total magnetic moment: 0.0 Bohr magnetons per cell
* energy relative to the lowest polymorph listed for this composition: 0 meV/atom

Cell: 7.415 5.721 8.817 Å, 90.00 107.54 90.00°
Space group P2_1/c (No. 14)
One atom of each set of equivalent atoms:
In 0.204 0.008 0.298
Cu 0.389 0.729 0.600
Au 0.011 0.749 0.998
Au 0.244 0.511 0.312
Au 0.402 0.227 0.595